Computed, not measured: an optimized crystal structure of NiPb2O at the GGA+U level of DFT.

Structure (POSCAR):
```
NiPb2O
1.0
5.9286 0.0000 0.0000
0.0000 5.9286 0.0000
0.0000 0.0000 10.3041
Ni Pb O
4 8 4
direct
0.0000 0.0000 0.0000
0.0000 0.5000 0.2500
0.5000 0.0000 0.7500
0.5000 0.5000 0.5000
0.2290 0.2500 0.6250
0.2500 0.7290 0.8750
0.2500 0.7710 0.3750
0.2710 0.2500 0.1250
0.7290 0.7500 0.1250
0.7500 0.2290 0.3750
0.7500 0.2710 0.8750
0.7710 0.7500 0.6250
0.0000 0.0000 0.5000
0.0000 0.5000 0.7500
0.5000 0.0000 0.2500
0.5000 0.5000 0.0000
```

## Properties
The total energy comes out at -3.59 eV/atom. As for the symmetry: I-42d, No. 122.